# 1
This record from the Alexandria database describes a geometry-optimized PmSb2Pd6 structure. The functional is PBE.

Cell lengths 4.620, 6.638, 6.638 Å; angles 72.88, 69.49, 69.49 degrees
Fractional positions:
Pd1 0.182 0.506 0.130
Pd2 0.500 0.231 0.769
Sb1 0.331 0.669 0.669
Pd3 0.818 0.870 0.494
Pd4 0.818 0.494 0.870
Pd5 0.500 0.769 0.231
Pm1 0.000 0.000 0.000
Pd6 0.182 0.130 0.506
Sb2 0.669 0.331 0.331

Values from the calculation:
- energy relative to the elements, uncorrected (eV/atom) = -0.48
- space group = C2/m
- N(E_F) (states/eV per atom) = 0.42

***

# 2
This record from the Alexandria database describes a geometry-optimized Tl5Hg6Sb2 structure. The functional is PBE.

Cell lengths 4.728, 11.750, 14.215 Å; angles 90.00, 90.00, 90.00 degrees
Fractional positions:
Tl1 0.500 0.154 0.923
Hg1 0.000 0.849 0.599
Tl2 0.500 0.000 0.500
Tl3 0.500 0.500 0.000
Tl4 0.500 0.059 0.256
Sb1 0.000 0.635 0.753
Hg2 0.000 0.911 0.915
Sb2 0.000 0.865 0.253
Tl5 0.500 0.846 0.077
Tl6 0.500 0.559 0.244
Hg3 0.500 0.282 0.135
Tl7 0.500 0.654 0.577
Hg4 0.000 0.589 0.415
Hg5 0.500 0.718 0.865
Hg6 0.000 0.411 0.585
Sb3 0.000 0.135 0.747
Hg7 0.000 0.349 0.901
Hg8 0.000 0.151 0.401
Hg9 0.500 0.782 0.365
Tl8 0.500 0.941 0.744
Sb4 0.000 0.365 0.247
Tl9 0.500 0.346 0.423
Tl10 0.500 0.441 0.756
Hg10 0.500 0.218 0.635
Hg11 0.000 0.089 0.085
Hg12 0.000 0.651 0.099

Values from the calculation:
- energy relative to the elements, uncorrected (eV/atom) = 0.04
- space group = Pbam
- N(E_F) (states/eV per atom) = 0.41

***

# 3
This record from the Alexandria database describes a geometry-optimized MoOsW2 structure. The functional is PBE.

Cell lengths 4.927, 4.927, 4.856 Å; angles 80.55, 80.55, 32.89 degrees
Fractional positions:
W1 0.990 0.990 0.010
Mo1 0.510 0.510 0.493
W2 0.750 0.750 0.748
Os1 0.250 0.250 0.249

Values from the calculation:
- calculated formation energy (eV/atom) = 0.23
- space group = Cm
- N(E_F) (states/eV per atom) = 0.86

***

# 4
This record from the Alexandria database describes a geometry-optimized Pr3Y structure. The functional is PBE.

Cell lengths 5.201, 5.201, 5.201 Å; angles 90.00, 90.00, 90.00 degrees
Fractional positions:
Y1 0.000 0.000 0.000
Pr1 0.000 0.500 0.500
Pr2 0.500 0.000 0.500
Pr3 0.500 0.500 0.000

Values from the calculation:
- calculated formation energy (eV/atom) = 0.01
- space group = Pm-3m
- N(E_F) (states/eV per atom) = 1.65

***

# 5
This record from the Alexandria database describes a geometry-optimized PmPuGe6 structure. The functional is PBE.

Cell lengths 5.075, 6.122, 6.122 Å; angles 120.00, 90.00, 90.00 degrees
Each line ends with the local moment (μB).
Fractional positions:
Ge1 0.000 0.046 0.398  -0.02
Pu1 0.500 0.417 0.583  5.25
Ge2 0.500 0.457 0.104  -0.01
Ge3 0.000 0.602 0.398  -0.02
Ge4 0.500 0.896 0.104  -0.01
Ge5 0.500 0.896 0.543  -0.01
Ge6 0.000 0.602 0.954  -0.02
Pm1 0.000 0.083 0.917  -0.02

Values from the calculation:
- calculated formation energy (eV/atom) = -0.36
- space group = P-6m2
- N(E_F) (states/eV per atom) = 0.68

***

# 6
This record from the Alexandria database describes a geometry-optimized Pm12Sm6Al structure. The functional is PBE.

Cell lengths 8.603, 8.603, 8.603 Å; angles 90.39, 90.39, 90.39 degrees
Fractional positions:
Pm1 0.042 0.158 0.368
Pm2 0.158 0.368 0.042
Pm3 0.958 0.842 0.632
Pm4 0.520 0.453 0.793
Sm1 0.099 0.733 0.261
Pm5 0.480 0.547 0.207
Pm6 0.207 0.480 0.547
Pm7 0.547 0.207 0.480
Sm2 0.733 0.261 0.099
Sm3 0.267 0.739 0.901
Pm8 0.842 0.632 0.958
Pm9 0.368 0.042 0.158
Sm4 0.901 0.267 0.739
Pm10 0.793 0.520 0.453
Pm11 0.632 0.958 0.842
Sm5 0.261 0.099 0.733
Al1 0.000 0.000 0.000
Sm6 0.739 0.901 0.267
Pm12 0.453 0.793 0.520

Values from the calculation:
- calculated formation energy (eV/atom) = 0.09
- space group = R-3
- N(E_F) (states/eV per atom) = 1.73

***

- Which formula does entry 6 have?
  Pm12Sm6Al